A plane-wave DFT calculation with PBE was carried out for a geometry-optimized ZnSi2Ag structure. Values from VASP.

The space-group type is Cmm2. The uncorrected formation energy comes out at 0.3066 eV per atom. For the volume, the calculation gives 15.66 Å³ per atom. The value obtained for the total energy is -13.7 eV/cell.

Structure (Quantum ESPRESSO input):
```
&SYSTEM
  ibrav = 0, nat = 4, ntyp = 3
/
ATOMIC_SPECIES
Zn 65.41 Zn.upf
Si 28.09 Si.upf
Ag 107.87 Ag.upf
CELL_PARAMETERS angstrom
1.9529 -2.0639 0.0000
1.9529 2.0639 0.0000
0.0000 0.0000 7.7688
ATOMIC_POSITIONS angstrom
Zn 0.0000 0.0000 0.0000
Si 0.0000 0.0000 4.0523
Si 1.9529 0.0000 5.9066
Ag 1.9529 0.0000 2.0093
```

***

A plane-wave DFT calculation with PBE was carried out for a geometry-optimized CsMgNb structure. Values from VASP.

The space-group type is P1. For the offset from the most stable computed form, the calculation gives 0 meV/atom. For the volume, the calculation gives 38.94 Å³ per atom. The value obtained for the total energy is -22.1 eV/cell.

Structure (Quantum ESPRESSO input):
```
&SYSTEM
  ibrav = 0, nat = 6, ntyp = 3
/
ATOMIC_SPECIES
Cs 132.91 Cs.upf
Mg 24.30 Mg.upf
Nb 92.91 Nb.upf
CELL_PARAMETERS angstrom
3.5457 0.0000 0.0000
0.0010 4.8983 0.0000
0.0946 2.4467 13.4516
ATOMIC_POSITIONS angstrom
Cs 0.0000 0.0000 0.0000
Cs 0.0632 2.4719 4.7040
Mg 0.9730 4.9058 7.8561
Mg 2.7463 4.9165 10.2982
Nb 0.9985 2.4646 10.0130
Nb 2.7192 2.4592 8.1447
```

***

A plane-wave DFT calculation with PBE was carried out for a geometry-optimized Ba2LiPuS5 structure. Values from VASP.

The space-group type is Cmc2_1. The uncorrected formation energy comes out at -1.5847 eV per atom. For the volume, the calculation gives 26.69 Å³ per atom. The value obtained for the total energy is -110.0 eV/cell.

Structure (Quantum ESPRESSO input):
```
&SYSTEM
  ibrav = 0, nat = 18, ntyp = 4
/
ATOMIC_SPECIES
Ba 137.33 Ba.upf
Li 6.94 Li.upf
Pu 244.00 Pu.upf
S 32.06 S.upf
CELL_PARAMETERS angstrom
2.0925 -8.9853 0.0000
2.0925 8.9853 0.0000
0.0000 0.0000 12.7743
ATOMIC_POSITIONS angstrom
Ba 2.0925 7.0305 6.3871
Ba 2.0925 6.7860 1.4979
Ba 2.0925 -6.7860 7.8850
Ba 2.0925 -7.0305 0.0000
Li 2.0925 1.1041 3.1890
Li 2.0925 -1.1041 9.5761
Pu 2.0925 5.2566 10.5006
Pu 2.0925 -5.2566 4.1135
S 2.0925 7.7380 10.8326
S 2.0925 3.8427 5.8247
S 2.0925 3.5305 2.3874
S 2.0925 2.6932 10.3574
S 2.0925 -0.0002 1.0863
S 2.0925 0.0002 7.4734
S 2.0925 -2.6932 3.9703
S 2.0925 -3.5305 8.7745
S 2.0925 -3.8427 12.2118
S 2.0925 -7.7380 4.4454
```

***

A plane-wave DFT calculation with PBE was carried out for a geometry-optimized LiPu4Se6 structure. Values from VASP.

The space-group type is Cmcm. The uncorrected formation energy comes out at -1.3546 eV per atom. For the volume, the calculation gives 27.37 Å³ per atom. The value obtained for the total energy is -190.1 eV/cell.

Structure (Quantum ESPRESSO input):
```
&SYSTEM
  ibrav = 0, nat = 22, ntyp = 3
/
ATOMIC_SPECIES
Li 6.94 Li.upf
Pu 244.00 Pu.upf
Se 78.96 Se.upf
CELL_PARAMETERS angstrom
2.0709 -6.8383 0.0000
2.0709 6.8383 0.0000
0.0000 0.0000 21.2575
ATOMIC_POSITIONS angstrom
Li 2.0709 4.2936 15.9431
Li 2.0709 -4.2936 5.3144
Pu 2.0709 5.5624 2.8931
Pu 2.0709 5.5624 7.7357
Pu 2.0709 1.8557 0.9366
Pu 2.0709 1.8557 9.6921
Pu 2.0709 -1.8557 11.5654
Pu 2.0709 -1.8557 20.3208
Pu 2.0709 -5.5624 13.5218
Pu 2.0709 -5.5624 18.3644
Se 0.0000 0.0000 0.0000
Se 0.0000 0.0000 10.6287
Se 2.0709 4.1398 5.3144
Se 2.0709 3.0942 12.3490
Se 2.0709 3.0942 19.5372
Se 2.0709 0.5721 3.4839
Se 2.0709 0.5721 7.1448
Se 2.0709 -0.5721 14.1127
Se 2.0709 -0.5721 17.7735
Se 2.0709 -3.0942 1.7203
Se 2.0709 -3.0942 8.9085
Se 2.0709 -4.1398 15.9431
```

***

A plane-wave DFT calculation with PBE was carried out for a geometry-optimized LaPrDyHg structure. Values from VASP.

The space-group type is F-43m. For the offset from the most stable computed form, the calculation gives 144 meV/atom. For the volume, the calculation gives 30.86 Å³ per atom. The value obtained for the total energy is -15.0 eV/cell.

Structure (Quantum ESPRESSO input):
```
&SYSTEM
  ibrav = 0, nat = 4, ntyp = 4
/
ATOMIC_SPECIES
La 138.91 La.upf
Pr 140.91 Pr.upf
Dy 162.50 Dy.upf
Hg 200.59 Hg.upf
CELL_PARAMETERS angstrom
0.0000 3.9517 3.9517
3.9517 0.0000 3.9517
3.9517 3.9517 0.0000
ATOMIC_POSITIONS angstrom
La 0.0000 0.0000 0.0000
Pr 3.9517 3.9517 3.9517
Dy 1.9759 1.9759 1.9759
Hg 5.9276 5.9276 5.9276
```

***

A plane-wave DFT calculation with PBE was carried out for a geometry-optimized LiTbHg structure. Values from VASP.

The space-group type is I4mm. For the offset from the most stable computed form, the calculation gives 93 meV/atom. For the volume, the calculation gives 23.12 Å³ per atom. The value obtained for the total energy is -7.6 eV/cell.

Structure (Quantum ESPRESSO input):
```
&SYSTEM
  ibrav = 0, nat = 3, ntyp = 3
/
ATOMIC_SPECIES
Li 6.94 Li.upf
Tb 158.93 Tb.upf
Hg 200.59 Hg.upf
CELL_PARAMETERS angstrom
-1.8988 1.8988 4.8097
1.8988 -1.8988 4.8097
1.8988 1.8988 -4.8097
ATOMIC_POSITIONS angstrom
Li 0.0000 0.0000 0.0000
Tb 0.0000 0.0000 3.0245
Hg 0.0000 0.0000 6.1510
```

***

A plane-wave DFT calculation with PBE was carried out for a geometry-optimized ErTm3Rh structure. Values from VASP.

The space-group type is Pm-3m. For the offset from the most stable computed form, the calculation gives 173 meV/atom. For the volume, the calculation gives 30.16 Å³ per atom. The value obtained for the total energy is -26.5 eV/cell.

Structure (Quantum ESPRESSO input):
```
&SYSTEM
  ibrav = 0, nat = 5, ntyp = 3
/
ATOMIC_SPECIES
Er 167.26 Er.upf
Tm 168.93 Tm.upf
Rh 102.91 Rh.upf
CELL_PARAMETERS angstrom
5.3225 0.0000 0.0000
0.0000 5.3225 0.0000
0.0000 0.0000 5.3225
ATOMIC_POSITIONS angstrom
Er 0.0000 0.0000 0.0000
Tm 0.0000 2.6612 2.6612
Tm 2.6612 0.0000 2.6612
Tm 2.6612 2.6612 0.0000
Rh 2.6612 2.6612 2.6612
```

***

A plane-wave DFT calculation with PBE was carried out for a geometry-optimized RbZrCuCl6 structure. Values from VASP.

The space-group type is P-31c. The uncorrected formation energy comes out at -1.5181 eV per atom. For the volume, the calculation gives 30.97 Å³ per atom. The value obtained for the total energy is -76.7 eV/cell.

Structure (Quantum ESPRESSO input):
```
&SYSTEM
  ibrav = 0, nat = 18, ntyp = 4
/
ATOMIC_SPECIES
Rb 85.47 Rb.upf
Zr 91.22 Zr.upf
Cu 63.55 Cu.upf
Cl 35.45 Cl.upf
CELL_PARAMETERS angstrom
6.6293 0.0000 0.0000
-3.3147 5.7412 0.0000
0.0000 0.0000 14.6475
ATOMIC_POSITIONS angstrom
Rb 0.0000 0.0000 0.0000
Rb 0.0000 0.0000 7.3237
Zr 0.0000 3.8274 3.6619
Zr 3.3147 1.9137 10.9856
Cu 0.0000 3.8274 10.9856
Cu 3.3147 1.9137 3.6619
Cl -1.2085 2.1791 2.2200
Cl -2.0317 3.6050 5.1037
Cl 1.2085 2.1791 5.1037
Cl -0.8232 5.6982 2.2200
Cl 2.4914 0.0430 9.5437
Cl 1.2829 2.1362 12.4275
Cl 2.0317 3.6050 2.2200
Cl 0.8232 5.6982 5.1037
Cl 4.1379 0.0430 12.4275
Cl 2.1062 3.5620 9.5437
Cl 5.3464 2.1362 9.5437
Cl 4.5232 3.5620 12.4275
```

***

A plane-wave DFT calculation with PBE was carried out for a geometry-optimized Tb3Sm2Cd structure. Values from VASP.

The space-group type is Imm2. For the offset from the most stable computed form, the calculation gives 403 meV/atom. For the volume, the calculation gives 32.56 Å³ per atom. The value obtained for the total energy is -22.4 eV/cell.

Structure (Quantum ESPRESSO input):
```
&SYSTEM
  ibrav = 0, nat = 6, ntyp = 3
/
ATOMIC_SPECIES
Tb 158.93 Tb.upf
Sm 150.36 Sm.upf
Cd 112.41 Cd.upf
CELL_PARAMETERS angstrom
-1.6772 4.9929 5.8315
1.6772 -4.9929 5.8315
1.6772 4.9929 -5.8315
ATOMIC_POSITIONS angstrom
Tb 0.0000 0.0000 0.0000
Tb 1.6772 -1.6180 5.4275
Tb 1.6772 1.6180 5.4275
Sm 1.6772 3.2728 2.5043
Sm 0.0000 1.7201 8.3358
Cd 1.6772 0.0000 2.7077
```

***

A plane-wave DFT calculation with PBE was carried out for a geometry-optimized SnS2N2 structure. Values from VASP.

The space-group type is P4/mmm. The uncorrected formation energy comes out at 1.5950 eV per atom. For the offset from the most stable computed form, the calculation gives 1820 meV/atom. For the volume, the calculation gives 18.21 Å³ per atom. The value obtained for the total energy is -20.9 eV/cell.

Structure (Quantum ESPRESSO input):
```
&SYSTEM
  ibrav = 0, nat = 5, ntyp = 3
/
ATOMIC_SPECIES
Sn 118.71 Sn.upf
S 32.06 S.upf
N 14.01 N.upf
CELL_PARAMETERS angstrom
4.0812 0.0000 0.0000
0.0000 4.0812 0.0000
0.0000 0.0000 5.4679
ATOMIC_POSITIONS angstrom
Sn 0.0000 0.0000 0.0000
S 0.0000 0.0000 2.7340
S 2.0406 2.0406 2.7340
N 0.0000 2.0406 0.0000
N 2.0406 0.0000 0.0000
```

***

A plane-wave DFT calculation with PBE was carried out for a geometry-optimized Cs2LiSn2 structure. Values from VASP.

The space-group type is P4/mbm. For the volume, the calculation gives 47.75 Å³ per atom. The value obtained for the total energy is -22.1 eV/cell.

Structure (Quantum ESPRESSO input):
```
&SYSTEM
  ibrav = 0, nat = 10, ntyp = 3
/
ATOMIC_SPECIES
Cs 132.91 Cs.upf
Li 6.94 Li.upf
Sn 118.71 Sn.upf
CELL_PARAMETERS angstrom
11.4178 0.0000 0.0000
0.0000 11.4178 0.0000
0.0000 0.0000 3.6629
ATOMIC_POSITIONS angstrom
Cs 2.3426 3.3663 0.0000
Cs 3.3663 9.0752 0.0000
Cs 8.0515 2.3426 0.0000
Cs 9.0752 8.0515 0.0000
Li 0.0000 0.0000 1.8314
Li 5.7089 5.7089 1.8314
Sn 0.9945 6.7034 1.8314
Sn 4.7144 0.9945 1.8314
Sn 6.7034 10.4233 1.8314
Sn 10.4233 4.7144 1.8314
```

***

A plane-wave DFT calculation with PBE was carried out for a geometry-optimized Zn2SiW structure. Values from VASP.

The space-group type is Pmmm. The uncorrected formation energy comes out at 0.2238 eV per atom. For the volume, the calculation gives 14.88 Å³ per atom. The value obtained for the total energy is -20.0 eV/cell.

Structure (Quantum ESPRESSO input):
```
&SYSTEM
  ibrav = 0, nat = 4, ntyp = 3
/
ATOMIC_SPECIES
Zn 65.41 Zn.upf
Si 28.09 Si.upf
W 183.84 W.upf
CELL_PARAMETERS angstrom
2.7177 0.0000 0.0000
0.0000 4.4604 0.0000
0.0000 0.0000 4.9086
ATOMIC_POSITIONS angstrom
Zn 0.0000 0.0000 0.0000
Zn 1.3589 2.2302 0.0000
Si 0.0000 2.2302 2.4543
W 1.3589 0.0000 2.4543
```